Entry from Alexandria: a relaxed Sc2In2H crystal (PBE).

Summary:
D(E_F) ... 5.3 states/eV per cell
Symmetry ... No. 127
Raw total energy ... -4.585 eV per atom

a b c (Å): 6.2122 6.2122 5.1550
angles (deg): 90.00 90.00 90.00
Positions (direct):
Sc1 0.3328 0.8328 0.0000
Sc2 0.8328 0.6672 0.0000
Sc3 0.6672 0.1672 0.0000
Sc4 0.1672 0.3328 0.0000
H1 0.0000 0.0000 0.0000
H2 0.5000 0.5000 0.0000
In1 0.1632 0.6632 0.5000
In2 0.6632 0.8368 0.5000
In3 0.8368 0.3368 0.5000
In4 0.3368 0.1632 0.5000

---

Entry from Alexandria: a relaxed ScIn3H crystal (PBE).

Summary:
D(E_F) ... 5.7 states/eV per cell
Symmetry ... No. 221
Raw total energy ... -2.657 eV per atom

a b c (Å): 5.7297 5.7297 5.7297
angles (deg): 90.00 90.00 90.00
Each line ends with the local moment (μB).
Positions (direct):
Sc1 0.0000 0.0000 0.0000  0.58
H1 0.5000 0.5000 0.5000  0.29
In1 0.0000 0.5000 0.0000  0.10
In2 0.0000 0.0000 0.5000  0.07
In3 0.5000 0.0000 0.0000  0.11

---

Entry from Alexandria: a relaxed Sc4In5H2 crystal (PBE).

Summary:
D(E_F) ... 7.0 states/eV per cell
Symmetry ... No. 71
Raw total energy ... -4.395 eV per atom

a b c (Å): 3.2255 8.1680 9.5027
angles (deg): 115.45 99.77 90.00
Each line ends with the local moment (μB).
Positions (direct):
Sc1 0.0000 0.3272 0.0000  0.34
Sc2 0.6673 0.6673 0.3345  -0.03
Sc3 0.0000 0.6728 0.0000  0.34
Sc4 0.3327 0.3327 0.6655  -0.03
In1 0.8317 0.0118 0.6635  0.00
In2 0.8317 0.6516 0.6635  0.00
In3 0.1683 0.3484 0.3365  0.00
In4 0.1683 0.9882 0.3365  0.00
In5 0.5000 0.0000 0.0000  0.00
H1 0.4483 0.4483 0.8966  -0.01
H2 0.5517 0.5517 0.1034  -0.01

---

Entry from Alexandria: a relaxed Sc2In2H crystal (PBE).

Summary:
D(E_F) ... 6.8 states/eV per cell
Symmetry ... No. 36
Raw total energy ... -4.670 eV per atom

a b c (Å): 3.4444 9.6722 6.1013
angles (deg): 90.00 106.40 90.00
Positions (direct):
Sc1 0.4621 0.3598 0.9243
Sc2 0.8602 0.0997 0.7203
Sc3 0.1398 0.5997 0.2797
Sc4 0.5379 0.8598 0.0757
In1 0.8836 0.6386 0.7672
In2 0.7357 0.3680 0.4714
In3 0.2643 0.8680 0.5286
In4 0.1164 0.1386 0.2328
H1 0.4114 0.1683 0.8228
H2 0.5886 0.6683 0.1772

---

Entry from Alexandria: a relaxed ScIn2H crystal (PBE).

Summary:
D(E_F) ... 4.7 states/eV per cell
Symmetry ... No. 122
Raw total energy ... -3.772 eV per atom

a b c (Å): 9.1718 9.1718 6.7747
angles (deg): 47.40 47.40 90.00
Positions (direct):
Sc1 0.0000 0.0000 0.0000
Sc2 0.7500 0.2500 0.5000
H1 0.5000 0.5000 0.0000
H2 0.2500 0.7500 0.5000
In1 0.5036 0.1250 0.2500
In2 0.2464 0.6250 0.2500
In3 0.3750 0.4964 0.7500
In4 0.8750 0.7536 0.7500

---

Entry from Alexandria: a relaxed ScInH2 crystal (PBE).

Summary:
D(E_F) ... 1.2 states/eV per cell
Symmetry ... No. 225
Raw total energy ... -3.772 eV per atom

a b c (Å): 4.1340 4.1340 4.1340
angles (deg): 60.00 60.00 60.00
Positions (direct):
Sc1 0.0000 0.0000 0.0000
H1 0.2500 0.2500 0.2500
H2 0.7500 0.7500 0.7500
In1 0.5000 0.5000 0.5000

---

Entry from Alexandria: a relaxed ScIn3H crystal (PBE).

Summary:
D(E_F) ... 2.2 states/eV per cell
Symmetry ... No. 221
Raw total energy ... -3.581 eV per atom

a b c (Å): 4.6036 4.6036 4.6036
angles (deg): 90.00 90.00 90.00
Positions (direct):
Sc1 0.5000 0.5000 0.5000
H1 0.0000 0.0000 0.0000
In1 0.0000 0.5000 0.0000
In2 0.0000 0.0000 0.5000
In3 0.5000 0.0000 0.0000

---

Entry from Alexandria: a relaxed Sc5In2H crystal (PBE).

Summary:
D(E_F) ... 8.6 states/eV per cell
Symmetry ... No. 107
Raw total energy ... -5.278 eV per atom

a b c (Å): 6.3921 6.3921 6.2400
angles (deg): 120.80 120.80 90.02
Each line ends with the local moment (μB).
Positions (direct):
Sc1 0.7507 0.2564 0.0071  0.23
Sc2 0.2564 0.2564 0.0071  0.23
Sc3 0.7507 0.7507 0.0070  0.23
Sc4 0.2564 0.7507 0.0071  0.23
Sc5 0.7573 0.7573 0.5146  0.19
In1 0.2540 0.7540 0.5080  0.00
In2 0.7540 0.2540 0.5080  0.00
H1 0.9976 0.9976 0.9952  -0.01

---

Q: What is the D(E_F) in the fourth record?
A: 6.8 states/eV per cell

---

Q: Which of these has the highest D(E_F)?
A: Sc5In2H

---

Q: What is the raw total energy in the second record?
A: -2.657 eV per atom